The following is a GGA-PBE calculation of a geometry-optimized CsUAs2S8 structure, from the Alexandria database.

Computed properties:
- DFT total energy (eV/atom) = -5.008
- total magnetic moment (Bohr magnetons per cell) = 3.086
- E_form (uncorrected) (eV/atom) = -0.470

a = 6.3567 Å, b = 6.3567 Å, c = 31.2950 Å
α = 90.00°, β = 90.00°, γ = 120.00°
Closest atoms and distances in Å follow each position.
Space group R-3 (No. 148, hexagonal axes)
Unique sites:
Cs 0.0000 0.0000 0.0000  6 S 3.77
U 0.0000 0.0000 0.5000  6 S 2.62
As 0.0000 0.0000 0.2383  4 S 2.10-2.26
S 0.0000 0.0000 0.3054  1 As 2.10
S 0.0034 0.6760 0.8806  1 As 2.26


The following is a GGA-PBE calculation of a geometry-optimized RbCuO2F structure, from the Alexandria database.

Computed properties:
- DFT total energy (eV/atom) = -4.287
- total magnetic moment (Bohr magnetons per cell) = 1.736
- E_form (uncorrected) (eV/atom) = -0.917

a = 3.7802 Å, b = 3.7802 Å, c = 4.9900 Å
α = 90.00°, β = 90.00°, γ = 90.00°
Closest atoms and distances in Å follow each position.
Space group P4/mmm (No. 123)
Unique sites:
Rb 0.0000 0.0000 0.0000  4 F 2.67
Cu 0.5000 0.5000 0.5000  4 O 1.89
O 0.0000 0.5000 0.5000  2 Cu 1.89
F 0.5000 0.5000 0.0000  2 Cu 2.49, 4 Rb 2.67


The following is a GGA-PBE calculation of a geometry-optimized HfNbAl2 structure, from the Alexandria database.

Computed properties:
- DFT total energy (eV/atom) = -7.191
- energy of formation from the pure elements (eV per atom) = -0.31
- total magnetic moment (Bohr magnetons per cell) = 0.000

a = 7.3498 Å, b = 3.7026 Å, c = 10.7315 Å
α = 90.00°, β = 90.00°, γ = 90.00°
Closest atoms and distances in Å follow each position.
Space group Pnma (No. 62)
Unique sites:
Hf 0.2299 0.2500 0.2002  7 Al 2.80-3.13
Nb 0.0500 0.7500 0.4072  5 Al 2.76-2.90, 2 Nb 2.82
Al 0.0680 0.2500 0.8383  3 Al 2.63-2.71, 2 Nb 2.77-2.90, 4 Hf 2.80-2.90
Al 0.1977 0.7500 0.9873  3 Al 2.63-2.71, 3 Nb 2.76-2.83


Among the records above, which one has the lowest total magnetic moment?
HfNbAl2